## BeCoPO2 (GGA+U)

Data for a relaxed BeCoPO2 crystal.

Cell: 3.5113 3.5113 4.9860 Å, 90.00 90.00 90.00°
With the nearest neighbours (Å) after each atom.
Fractional coordinates of all 5 atoms:
Be 0.0000 0.0000 0.0000  4 P 2.48
Co 0.5000 0.5000 0.5000  4 O 1.76
P 0.5000 0.5000 0.0000  4 Be 2.48, 2 Co 2.49
O 0.0000 0.5000 0.5000  2 Co 1.76
O 0.5000 0.0000 0.5000  2 Co 1.76

Summary:
* energy above the lowest structure with this stoichiometry: 1.53 eV/f.u.
* total moment: 2.47 μB/f.u.